# PuTlBi2 GGA-PBE relaxed
# Final energy in eV/atom: -6.086
# Energy of formation from the pure elements in eV/f.u.: 0.118
# Distance to the lowest polymorph of the same formula in meV per atom: 248
data_PuTlBi2
_cell_length_a 4.917
_cell_length_b 4.917
_cell_length_c 7.284
_cell_angle_alpha 70.27
_cell_angle_beta 70.27
_cell_angle_gamma 60.00
_symmetry_space_group_name_H-M 'P 1'
_symmetry_Int_Tables_number 1
loop_
_symmetry_equiv_pos_as_xyz
'x,y,z'
loop_
_atom_site_label
_atom_site_type_symbol
_atom_site_fract_x
_atom_site_fract_y
_atom_site_fract_z
_atom_site_occupancy
Tl1 Tl 0.500 0.500 0.500 1
Bi1 Bi 0.262 0.262 0.213 1
Bi2 Bi 0.738 0.738 0.787 1
Pu1 Pu 0.000 0.000 0.000 1